[1]
# AcZnH8Pt2

An optimized crystal structure of AcZnH8Pt2 (GGA-PBE, Alexandria via LeMat-Bulk).

Unit cell a=4.191 b=4.191 c=7.782 alpha=98.09 beta=98.09 gamma=72.26
Positions (direct):
Ac  0.000  0.000  0.000
Zn  0.000  0.000  0.500
H  0.253  0.694  0.287
H  0.291  0.291  0.509
H  0.306  0.747  0.713
H  0.354  0.354  0.944
H  0.646  0.646  0.056
H  0.694  0.253  0.287
H  0.709  0.709  0.491
H  0.747  0.306  0.713
Pt  0.326  0.326  0.723
Pt  0.674  0.674  0.277

Total DFT energy (no corrections)   -0.142 Ha/atom
Volume   128.2 Å³/cell
Space-group type   C2/m

[2]
# AcPuH6

An optimized crystal structure of AcPuH6 (GGA-PBE, Alexandria via LeMat-Bulk).

Unit cell a=3.486 b=3.486 c=6.923 alpha=90.00 beta=90.00 gamma=90.00
Positions (direct):
Ac  0.000  0.000  0.000
Pu  0.000  0.000  0.500
H  0.000  0.500  0.272
H  0.000  0.500  0.728
H  0.500  0.000  0.272
H  0.500  0.000  0.728
H  0.500  0.500  0.000
H  0.500  0.500  0.500

Total DFT energy (no corrections)   -0.187 Ha/atom
Volume   84.1 Å³/cell
Space-group type   P4/mmm

Q: Which of these has the lowest total DFT energy (no corrections)?
A: AcPuH6